1.
Here is a relaxed structure of VZnHg3 from Alexandria via LeMat-Bulk. Energies are from PBE-GGA.

Results
* formation energy: 751 meV per atom

a b c (Å): 5.058 5.058 5.058
angles (deg): 90.00 90.00 90.00
Site moments in Bohr magnetons follow the coordinates.
Sites, in units of the cell vectors:
Zn 0.000 0.000 0.000  0.00
Hg 0.000 0.500 0.000  0.01
Hg 0.000 0.000 0.500  0.01
Hg 0.500 0.000 0.000  0.01
V 0.500 0.500 0.500  3.08

***

2.
Here is a relaxed structure of CsHg2P from Alexandria via LeMat-Bulk. Energies are from PBE-GGA.

Results
* formation energy: -25 meV per atom

a b c (Å): 5.897 5.897 9.926
angles (deg): 72.72 72.72 90.00
Sites, in units of the cell vectors:
Cs 0.000 0.000 0.000
Cs 0.750 0.250 0.500
P 0.500 0.500 0.000
P 0.250 0.750 0.500
Hg 0.374 0.125 0.250
Hg 0.376 0.625 0.250
Hg 0.375 0.626 0.750
Hg 0.875 0.624 0.750

***

3.
Here is a relaxed structure of K6Ga from Alexandria via LeMat-Bulk. Energies are from PBE-GGA.

Results
* formation energy: 564 meV per atom

a b c (Å): 9.592 9.592 9.592
angles (deg): 109.47 109.47 109.47
Site moments in Bohr magnetons follow the coordinates.
Sites, in units of the cell vectors:
K 0.250 0.750 0.500  0.00
K 0.500 0.750 0.250  0.00
K 0.250 0.500 0.750  0.00
K 0.750 0.250 0.500  0.00
K 0.500 0.250 0.750  0.00
K 0.750 0.500 0.250  0.00
Ga 0.000 0.000 0.000  0.19

***

4.
Here is a relaxed structure of BeAlIn2 from Alexandria via LeMat-Bulk. Energies are from PBE-GGA.

Results
* formation energy: 339 meV per atom

a b c (Å): 8.507 8.507 8.507
angles (deg): 22.68 22.68 22.68
Sites, in units of the cell vectors:
Be 0.756 0.756 0.756
Al 0.485 0.485 0.485
In 0.015 0.015 0.015
In 0.244 0.244 0.244

***

5.
Here is a relaxed structure of Ac2TmGeO6 from Alexandria via LeMat-Bulk. Energies are from PBE-GGA.

Results
* formation energy without anion corrections: -2727.1 kJ/mol of formula units

a b c (Å): 5.984 5.933 5.982
angles (deg): 60.15 59.06 89.57
Sites, in units of the cell vectors:
Ac 0.752 0.236 0.516
Ac 0.248 0.764 0.484
Tm 0.000 0.000 0.000
Ge 0.500 0.500 0.000
O 0.195 0.197 0.489
O 0.745 0.644 0.102
O 0.314 0.803 0.002
O 0.686 0.197 0.998
O 0.255 0.356 0.898
O 0.805 0.803 0.511

***

6.
Here is a relaxed structure of SiAgAs2Se from Alexandria via LeMat-Bulk. Energies are from PBE-GGA.

Results
* formation energy without anion corrections: 518.2 kJ/mol of formula units

a b c (Å): 4.950 4.950 5.152
angles (deg): 90.00 90.00 90.00
Site moments in Bohr magnetons follow the coordinates.
Sites, in units of the cell vectors:
As 0.000 0.500 0.000  0.09
As 0.500 0.000 0.000  0.09
Si 0.500 0.500 0.500  -0.01
Se 0.000 0.000 0.500  0.04
Ag 0.000 0.000 0.000  0.01

***

7.
Here is a relaxed structure of PrTm2ZrSc4 from Alexandria via LeMat-Bulk. Energies are from PBE-GGA.

Results
* formation energy: 57 meV per atom

a b c (Å): 4.772 4.781 10.520
angles (deg): 62.99 90.00 90.00
Sites, in units of the cell vectors:
Pr 0.500 0.500 0.000
Tm 0.000 0.000 0.000
Tm 0.500 0.000 0.500
Zr 0.000 0.500 0.500
Sc 0.000 0.763 0.736
Sc 0.000 0.237 0.264
Sc 0.500 0.736 0.264
Sc 0.500 0.264 0.736

***

8.
Here is a relaxed structure of Ac2ThS3 from Alexandria via LeMat-Bulk. Energies are from PBE-GGA.

Results
* formation energy without anion corrections: -1110.1 kJ/mol of formula units

a b c (Å): 7.267 7.267 7.333
angles (deg): 99.50 99.50 119.87
Sites, in units of the cell vectors:
Ac 0.833 0.167 0.500
Ac 0.333 0.667 0.000
Ac 0.170 0.830 0.500
Ac 0.497 0.503 0.500
Th 0.001 0.999 0.000
Th 0.666 0.334 0.000
S 0.598 0.932 0.765
S 0.068 0.402 0.235
S 0.910 0.586 0.760
S 0.253 0.244 0.760
S 0.414 0.090 0.240
S 0.756 0.747 0.240

***

no.,magnetic moment (μB per cell)
1,3.85
2,0.00
3,1.08
4,0.00
5,0.00
6,0.43
7,0.00
8,0.00